[1]
The following is a DFT calculation (PBE-GGA) of CsRbCd2Hg after structural relaxation.

Energy relative to the lowest polymorph listed for this composition (meV/atom): 82.9
Mass density (g/cm3): 4.529
V (Å³/cell): 236.1
Formation enthalpy at 0 K (eV/atom): 0.015

Geometry as POSCAR:
```
CsRbCd2Hg
1.0
6.0152 0.0000 0.0000
0.0000 6.0152 0.0000
0.0000 0.0000 6.5240
Cs Hg Rb Cd
1 1 1 2
direct
0.5000 0.5000 0.5000
0.0000 0.0000 0.0000
0.0000 0.0000 0.5000
0.0000 0.5000 0.0000
0.5000 0.0000 0.0000
```



[2]
The following is a DFT calculation (PBE-GGA) of Cs2Rb3Cd4Hg2 after structural relaxation.

Mass density (g/cm3): 4.352
V (Å³/cell): 523.9
Formation enthalpy at 0 K (eV/atom): -0.015

Geometry as POSCAR:
```
Cs2Rb3Cd4Hg2
1.0
5.9599 0.0000 0.0000
0.0000 5.9599 0.0000
-2.9799 -2.9799 14.7505
Cs Rb Cd Hg
2 3 4 2
direct
0.3260 0.3260 0.6519
0.6740 0.6740 0.3481
0.0000 0.0000 0.0000
0.1630 0.1630 0.3261
0.8370 0.8370 0.6739
0.4177 0.9177 0.8354
0.9177 0.4177 0.8354
0.0823 0.5823 0.1646
0.5823 0.0823 0.1646
0.4497 0.4497 0.8994
0.5503 0.5503 0.1006
```



> Which of these has the highest V?

Cs2Rb3Cd4Hg2